[1]
First-principles (GGA-PBE) data for an optimized crystal structure of HfSc2W, as listed in OQMD.

**Formation energy from the elements**: 0.193 eV/atom

Cell: 4.8316 4.8316 4.8316 Å, 60.00 60.00 60.00°
Fractional positions:
Hf1 0.5000 0.5000 0.5000
Sc1 0.0000 0.0000 0.0000
Sc2 0.2500 0.2500 0.2500
W1 0.7500 0.7500 0.7500

[2]
First-principles (GGA-PBE) data for an optimized crystal structure of Tc2NiSn2, as listed in OQMD.

**E_tot**: -6.72 eV/atom

Cell: 6.8113 5.6504 8.0320 Å, 56.54 43.79 79.67°
Fractional positions:
Ni1 0.3215 0.3215 0.6785
Ni2 0.5715 0.5715 0.9285
Sn1 0.7744 0.5163 0.1118
Sn2 0.1382 0.6525 0.4756
Sn3 0.5163 0.7744 0.5975
Sn4 0.6525 0.1382 0.7337
Tc1 0.7325 0.0744 0.0606
Tc2 0.0744 0.7325 0.1324
Tc3 0.1176 0.1894 0.1756
Tc4 0.1894 0.1176 0.5175

[3]
First-principles (GGA-PBE) data for an optimized crystal structure of Ho4Ni3Pd, as listed in OQMD.

**Formation energy from the elements**: -0.583 eV/atom

Cell: 5.4225 4.3195 6.9519 Å, 90.00 90.27 90.00°
Fractional positions:
Ho1 0.6392 0.5000 0.1785
Ho2 0.1307 0.0000 0.3131
Ho3 0.8628 0.5000 0.6854
Ho4 0.3651 0.0000 0.8266
Ni1 0.1302 0.5000 0.0356
Ni2 0.6432 0.0000 0.4589
Ni3 0.8700 0.0000 0.9626
Pd1 0.3589 0.5000 0.5393

Per-record total moment, μB per cell: 0.00; 0.00; 0.00